# Li2MgV | Alexandria via LeMat-Bulk | PBE-GGA | optimized geometry
# Space-group type ... I-42d, No. 122
# Energy ... -0.22345 Ry/atom
# V ... 153.08 Å³/cell
# Formation energy from the elements ... 595 meV per atom
# Density of states at the Fermi level ... 7.1 states/eV per cell
data_Li2MgV
_chemical_formula_sum 'Li4 Mg2 V2'
_cell_length_a 5.914
_cell_length_b 5.914
_cell_length_c 5.914
_cell_angle_alpha 103.43
_cell_angle_beta 103.43
_cell_angle_gamma 122.38
_space_group_name_H-M_alt 'P 1'
_space_group_IT_number 1
_space_group_name_Hall 'P 1'
loop_
_atom_site_label
_atom_site_type_symbol
_atom_site_fract_x
_atom_site_fract_y
_atom_site_fract_z
Li1 Li 0.124 0.125 0.499
Li2 Li 0.375 0.876 0.001
Li3 Li 0.626 0.625 0.501
Li4 Li 0.875 0.374 0.999
Mg1 Mg 0.250 0.750 0.500
Mg2 Mg 0.500 0.500 0.000
V1 V 0.000 0.000 0.000
V2 V 0.750 0.250 0.500

# NdH2Rh | Alexandria via LeMat-Bulk | PBE-GGA | optimized geometry
# Space-group type ... P2/m, No. 10
# Energy ... -0.38908 Ry/atom
# V ... 50.17 Å³/cell
# ΔE to the lowest computed polymorph ... 0.0 meV per atom
# Density of states at the Fermi level ... 0.9 states/eV per cell
data_NdH2Rh
_chemical_formula_sum 'Nd1 H2 Rh1'
_cell_length_a 3.621
_cell_length_b 3.765
_cell_length_c 3.680
_cell_angle_alpha 90.00
_cell_angle_beta 90.15
_cell_angle_gamma 90.00
_space_group_name_H-M_alt 'P 1'
_space_group_IT_number 1
_space_group_name_Hall 'P 1'
loop_
_atom_site_label
_atom_site_type_symbol
_atom_site_fract_x
_atom_site_fract_y
_atom_site_fract_z
Nd1 Nd 0.000 0.000 0.000
H1 H 0.500 0.000 0.500
H2 H 0.500 0.500 0.000
Rh1 Rh 0.500 0.500 0.500

# SiSnTe2 | Alexandria via LeMat-Bulk | PBE-GGA | optimized geometry
# Space-group type ... R-3m, No. 166
# Formation energy without anion corrections ... 0.12 eV/atom
# Energy ... -0.28013 Ry/atom
# V ... 121.11 Å³/cell
# ΔE to the lowest computed polymorph ... 0.0 meV per atom
# Density of states at the Fermi level ... 1.8 states/eV per cell
data_SiSnTe2
_chemical_formula_sum 'Si1 Sn1 Te2'
_cell_length_a 9.738
_cell_length_b 9.738
_cell_length_c 9.738
_cell_angle_alpha 22.74
_cell_angle_beta 22.74
_cell_angle_gamma 22.74
_space_group_name_H-M_alt 'P 1'
_space_group_IT_number 1
_space_group_name_Hall 'P 1'
loop_
_atom_site_label
_atom_site_type_symbol
_atom_site_fract_x
_atom_site_fract_y
_atom_site_fract_z
Si1 Si 0.000 0.000 0.000
Sn1 Sn 0.500 0.500 0.500
Te1 Te 0.389 0.389 0.389
Te2 Te 0.611 0.611 0.611

# LaHoSb | Alexandria via LeMat-Bulk | PBE-GGA | optimized geometry
# Space-group type ... I4mm, No. 107
# Formation energy without anion corrections ... -0.65 eV/atom
# Energy ... -0.38199 Ry/atom
# V ... 90.81 Å³/cell
# Density of states at the Fermi level ... 3.2 states/eV per cell
data_LaHoSb
_chemical_formula_sum 'La1 Ho1 Sb1'
_cell_length_a 6.199
_cell_length_b 6.199
_cell_length_c 6.199
_cell_angle_alpha 141.71
_cell_angle_beta 141.71
_cell_angle_gamma 55.27
_space_group_name_H-M_alt 'P 1'
_space_group_IT_number 1
_space_group_name_Hall 'P 1'
loop_
_atom_site_label
_atom_site_type_symbol
_atom_site_fract_x
_atom_site_fract_y
_atom_site_fract_z
La1 La 0.000 0.000 0.000
Ho1 Ho 0.297 0.297 0.000
Sb1 Sb 0.671 0.671 0.000

# Sm2ZrTl3S6 | Alexandria via LeMat-Bulk | PBE-GGA | optimized geometry
# Space-group type ... C2/m, No. 12
# Formation energy without anion corrections ... -1.31 eV/atom
# Energy ... -0.40185 Ry/atom
# V ... 312.45 Å³/cell
# Density of states at the Fermi level ... 5.7 states/eV per cell
data_Sm2ZrTl3S6
_chemical_formula_sum 'Sm2 Zr1 Tl3 S6'
_cell_length_a 6.887
_cell_length_b 6.887
_cell_length_c 7.952
_cell_angle_alpha 98.37
_cell_angle_beta 98.37
_cell_angle_gamma 120.01
_space_group_name_H-M_alt 'P 1'
_space_group_IT_number 1
_space_group_name_Hall 'P 1'
loop_
_atom_site_label
_atom_site_type_symbol
_atom_site_fract_x
_atom_site_fract_y
_atom_site_fract_z
Sm1 Sm 0.166 0.834 0.000
Sm2 Sm 0.834 0.166 0.000
Zr1 Zr 0.500 0.500 0.000
Tl1 Tl 0.000 0.000 0.500
Tl2 Tl 0.329 0.671 0.500
Tl3 Tl 0.671 0.329 0.500
S1 S 0.121 0.433 0.801
S2 S 0.256 0.256 0.205
S3 S 0.433 0.121 0.801
S4 S 0.567 0.879 0.199
S5 S 0.744 0.744 0.795
S6 S 0.879 0.567 0.199

# TlRhPb | Alexandria via LeMat-Bulk | PBE-GGA | optimized geometry
# Space-group type ... C2/c, No. 15
# Energy ... -0.32413 Ry/atom
# V ... 141.62 Å³/cell
# Formation energy from the elements ... 65 meV per atom
# ΔE to the lowest computed polymorph ... 48.8 meV per atom
# Density of states at the Fermi level ... 4.6 states/eV per cell
data_TlRhPb
_chemical_formula_sum 'Tl2 Rh2 Pb2'
_cell_length_a 5.686
_cell_length_b 5.686
_cell_length_c 5.910
_cell_angle_alpha 120.54
_cell_angle_beta 120.54
_cell_angle_gamma 73.40
_space_group_name_H-M_alt 'P 1'
_space_group_IT_number 1
_space_group_name_Hall 'P 1'
loop_
_atom_site_label
_atom_site_type_symbol
_atom_site_fract_x
_atom_site_fract_y
_atom_site_fract_z
Tl1 Tl 0.154 0.846 0.750
Tl2 Tl 0.846 0.154 0.250
Rh1 Rh 0.500 0.500 0.000
Rh2 Rh 0.500 0.500 0.500
Pb1 Pb 0.000 0.500 0.000
Pb2 Pb 0.500 0.000 0.500

# Ce2CoI | Alexandria via LeMat-Bulk | PBE-GGA | optimized geometry
# Space-group type ... R-3m, No. 166
# Formation energy without anion corrections ... -0.56 eV/atom
# Energy ... -0.41832 Ry/atom
# V ... 110.91 Å³/cell
# ΔE to the lowest computed polymorph ... 0.0 meV per atom
# Density of states at the Fermi level ... 10.2 states/eV per cell
data_Ce2CoI
_chemical_formula_sum 'Ce2 Co1 I1'
_cell_length_a 8.244
_cell_length_b 8.244
_cell_length_c 8.244
_cell_angle_alpha 28.25
_cell_angle_beta 28.25
_cell_angle_gamma 28.25
_space_group_name_H-M_alt 'P 1'
_space_group_IT_number 1
_space_group_name_Hall 'P 1'
loop_
_atom_site_label
_atom_site_type_symbol
_atom_site_fract_x
_atom_site_fract_y
_atom_site_fract_z
Ce1 Ce 0.226 0.226 0.226
Ce2 Ce 0.774 0.774 0.774
Co1 Co 0.500 0.500 0.500
I1 I 0.000 0.000 0.000

# NdHo3As4 | Alexandria via LeMat-Bulk | PBE-GGA | optimized geometry
# Space-group type ... Pm-3m, No. 221
# Energy ... -0.45188 Ry/atom
# V ... 201.32 Å³/cell
# Formation energy from the elements ... -1511 meV per atom
# Density of states at the Fermi level ... 0.7 states/eV per cell
data_NdHo3As4
_chemical_formula_sum 'Nd1 Ho3 As4'
_cell_length_a 5.861
_cell_length_b 5.861
_cell_length_c 5.861
_cell_angle_alpha 90.00
_cell_angle_beta 90.00
_cell_angle_gamma 90.00
_space_group_name_H-M_alt 'P 1'
_space_group_IT_number 1
_space_group_name_Hall 'P 1'
loop_
_atom_site_label
_atom_site_type_symbol
_atom_site_fract_x
_atom_site_fract_y
_atom_site_fract_z
Nd1 Nd 0.000 0.000 0.000
Ho1 Ho 0.000 0.500 0.500
Ho2 Ho 0.500 0.000 0.500
Ho3 Ho 0.500 0.500 0.000
As1 As 0.000 0.000 0.500
As2 As 0.000 0.500 0.000
As3 As 0.500 0.000 0.000
As4 As 0.500 0.500 0.500